No. 1
# GGA-PBE CaAcLa2S4, relaxed
data_CaAcLa2S4
_chemical_formula_sum 'Ca1 Ac1 La2 S4'
_cell_length_a 7.243
_cell_length_b 4.151
_cell_length_c 7.245
_cell_angle_alpha 90.00
_cell_angle_beta 109.09
_cell_angle_gamma 90.00
_symmetry_space_group_name_H-M 'P 1 2/m 1'
_symmetry_Int_Tables_number 10
_symmetry_space_group_name_Hall '-P 2y'
loop_
_atom_site_label
_atom_site_type_symbol
_atom_site_fract_x
_atom_site_fract_y
_atom_site_fract_z
Ca1 Ca 0.000 0.000 0.000
Ac1 Ac 0.000 0.500 0.500
La1 La 0.500 0.000 0.500
La2 La 0.500 0.500 0.000
S1 S 0.245 0.500 0.239
S2 S 0.252 0.000 0.762
# - Mass density: 5.4 g/cm3
# - Electronic total energy: -49.1 eV/cell
# - Total moment: 0.000 μB per formula unit


No. 2
# GGA-PBE CaAc2LaSb4, relaxed
data_CaAc2LaSb4
_chemical_formula_sum 'Ca1 Ac2 La1 Sb4'
_cell_length_a 8.097
_cell_length_b 4.731
_cell_length_c 8.156
_cell_angle_alpha 90.00
_cell_angle_beta 109.81
_cell_angle_gamma 90.00
_symmetry_space_group_name_H-M 'P 1 2/m 1'
_symmetry_Int_Tables_number 10
_symmetry_space_group_name_Hall '-P 2y'
loop_
_atom_site_label
_atom_site_type_symbol
_atom_site_fract_x
_atom_site_fract_y
_atom_site_fract_z
Ca1 Ca 0.000 0.000 0.000
Ac1 Ac 0.500 0.000 0.500
Ac2 Ac 0.500 0.500 0.000
La1 La 0.000 0.500 0.500
Sb1 Sb 0.239 0.000 0.746
Sb2 Sb 0.239 0.500 0.246
# - Mass density: 6.3 g/cm3
# - Electronic total energy: -40.4 eV/cell
# - Total moment: 0.000 μB per formula unit


No. 3
# GGA-PBE CaAcLaSc, relaxed
data_CaAcLaSc
_chemical_formula_sum 'Ca4 Ac4 La4 Sc4'
_cell_length_a 8.333
_cell_length_b 8.333
_cell_length_c 8.333
_cell_angle_alpha 90.00
_cell_angle_beta 90.00
_cell_angle_gamma 90.00
_symmetry_space_group_name_H-M 'F -4 3 m'
_symmetry_Int_Tables_number 216
_symmetry_space_group_name_Hall 'F -4 2 3'
loop_
_atom_site_label
_atom_site_type_symbol
_atom_site_fract_x
_atom_site_fract_y
_atom_site_fract_z
Ca1 Ca 0.000 0.000 0.000
Ac1 Ac 0.250 0.250 0.750
La1 La 0.250 0.250 0.250
Sc1 Sc 0.000 0.000 0.500
# - Mass density: 5.2 g/cm3
# - Electronic total energy: -67.6 eV/cell
# - Total moment: 0.001 μB per formula unit


No. 4
# GGA-PBE Ca2AcLaSe4, relaxed
data_Ca2AcLaSe4
_chemical_formula_sum 'Ca2 Ac1 La1 Se4'
_cell_length_a 7.410
_cell_length_b 4.279
_cell_length_c 7.537
_cell_angle_alpha 90.00
_cell_angle_beta 109.12
_cell_angle_gamma 90.00
_symmetry_space_group_name_H-M 'P 1 2/m 1'
_symmetry_Int_Tables_number 10
_symmetry_space_group_name_Hall '-P 2y'
loop_
_atom_site_label
_atom_site_type_symbol
_atom_site_fract_x
_atom_site_fract_y
_atom_site_fract_z
Ca1 Ca 0.000 0.000 0.000
Ca2 Ca 0.500 0.500 0.000
Ac1 Ac 0.000 0.500 0.500
La1 La 0.500 0.000 0.500
Se1 Se 0.250 0.500 0.236
Se2 Se 0.260 0.000 0.767
# - Mass density: 5.6 g/cm3
# - Electronic total energy: -42.5 eV/cell
# - Total moment: 0.000 μB per formula unit


No. 5
# GGA-PBE CaAcLaSm, relaxed
data_CaAcLaSm
_chemical_formula_sum 'Ca3 Ac3 La3 Sm3'
_cell_length_a 3.8099
_cell_length_b 3.8099
_cell_length_c 37.4809
_cell_angle_alpha 90.00
_cell_angle_beta 90.00
_cell_angle_gamma 120.00
_symmetry_space_group_name_H-M 'R 3 m'
_symmetry_Int_Tables_number 160
_symmetry_space_group_name_Hall 'R 3 -2"'
loop_
_atom_site_label
_atom_site_type_symbol
_atom_site_fract_x
_atom_site_fract_y
_atom_site_fract_z
Ca1 Ca 0.0000 0.0000 0.0000
Ac1 Ac 0.0000 0.0000 0.2449
La1 La 0.0000 0.0000 0.7523
Sm1 Sm 0.0000 0.0000 0.4969
# - Polymorph energy (0 for the lowest one): 0.000 eV per formula unit
# - Mass density: 5.9 g/cm3
# - Electronic total energy: -46.9 eV/cell
# - Total moment: 0.000 μB per formula unit


No. 6
# GGA-PBE CaAcLa5Sm2, relaxed
data_CaAcLa5Sm2
_chemical_formula_sum 'Ca4 Ac4 La20 Sm8'
_cell_length_a 9.459
_cell_length_b 9.459
_cell_length_c 15.588
_cell_angle_alpha 90.00
_cell_angle_beta 90.00
_cell_angle_gamma 90.00
_symmetry_space_group_name_H-M 'I 4/m c m'
_symmetry_Int_Tables_number 140
_symmetry_space_group_name_Hall '-I 4 2c'
loop_
_atom_site_label
_atom_site_type_symbol
_atom_site_fract_x
_atom_site_fract_y
_atom_site_fract_z
Ca1 Ca 0.000 0.500 0.250
Ac1 Ac 0.000 0.000 0.250
La1 La 0.000 0.000 0.000
La2 La 0.202 0.298 0.122
Sm1 Sm 0.112 0.388 0.500
# - Mass density: 6.0 g/cm3
# - Electronic total energy: -152.4 eV/cell
# - Total moment: 0.000 μB per formula unit


No. 7
# GGA-PBE Ca2Ac6La3Sm, relaxed
data_Ca2Ac6La3Sm
_chemical_formula_sum 'Ca4 Ac12 La6 Sm2'
_cell_length_a 6.752
_cell_length_b 11.713
_cell_length_c 12.747
_cell_angle_alpha 90.00
_cell_angle_beta 100.18
_cell_angle_gamma 90.00
_symmetry_space_group_name_H-M 'C 1 2/m 1'
_symmetry_Int_Tables_number 12
_symmetry_space_group_name_Hall '-C 2y'
loop_
_atom_site_label
_atom_site_type_symbol
_atom_site_fract_x
_atom_site_fract_y
_atom_site_fract_z
Ca1 Ca 0.000 0.167 0.000
Ac1 Ac 0.245 0.500 0.749
Ac2 Ac 0.248 0.336 0.252
La1 La 0.000 0.000 0.500
La2 La 0.000 0.335 0.500
Sm1 Sm 0.000 0.500 0.000
# - Mass density: 6.7 g/cm3
# - Electronic total energy: -95.5 eV/cell
# - Total moment: 0.000 μB per formula unit


No. 8
# GGA-PBE CaAcLaSm, relaxed
data_CaAcLaSm
_chemical_formula_sum 'Ca4 Ac4 La4 Sm4'
_cell_length_a 8.565
_cell_length_b 8.565
_cell_length_c 8.565
_cell_angle_alpha 90.00
_cell_angle_beta 90.00
_cell_angle_gamma 90.00
_symmetry_space_group_name_H-M 'F -4 3 m'
_symmetry_Int_Tables_number 216
_symmetry_space_group_name_Hall 'F -4 2 3'
loop_
_atom_site_label
_atom_site_type_symbol
_atom_site_fract_x
_atom_site_fract_y
_atom_site_fract_z
Ca1 Ca 0.000 0.000 0.000
Ac1 Ac 0.000 0.000 0.500
La1 La 0.250 0.250 0.250
Sm1 Sm 0.250 0.250 0.750
# - Polymorph energy (0 for the lowest one): 0.400 eV per formula unit
# - Mass density: 5.9 g/cm3
# - Electronic total energy: -60.9 eV/cell
# - Total moment: 0.001 μB per formula unit


No. 9
# GGA-PBE CaAcLaSn, relaxed
data_CaAcLaSn
_chemical_formula_sum 'Ca4 Ac4 La4 Sn4'
_cell_length_a 8.216
_cell_length_b 8.216
_cell_length_c 8.216
_cell_angle_alpha 90.00
_cell_angle_beta 90.00
_cell_angle_gamma 90.00
_symmetry_space_group_name_H-M 'F -4 3 m'
_symmetry_Int_Tables_number 216
_symmetry_space_group_name_Hall 'F -4 2 3'
loop_
_atom_site_label
_atom_site_type_symbol
_atom_site_fract_x
_atom_site_fract_y
_atom_site_fract_z
Ca1 Ca 0.000 0.000 0.000
Ac1 Ac 0.250 0.250 0.750
La1 La 0.250 0.250 0.250
Sn1 Sn 0.000 0.000 0.500
# - Mass density: 6.3 g/cm3
# - Electronic total energy: -64.4 eV/cell
# - Total moment: 0.001 μB per formula unit


No. 10
# GGA-PBE CaAc2LaTb, relaxed
data_CaAc2LaTb
_chemical_formula_sum 'Ca2 Ac4 La2 Tb2'
_cell_length_a 9.239
_cell_length_b 6.373
_cell_length_c 7.353
_cell_angle_alpha 90.00
_cell_angle_beta 97.38
_cell_angle_gamma 90.00
_symmetry_space_group_name_H-M 'P 1 2/c 1'
_symmetry_Int_Tables_number 13
_symmetry_space_group_name_Hall '-P 2yc'
loop_
_atom_site_label
_atom_site_type_symbol
_atom_site_fract_x
_atom_site_fract_y
_atom_site_fract_z
Ca1 Ca 0.000 0.014 0.250
Ac1 Ac 0.330 0.100 0.589
La1 La 0.000 0.500 0.000
Tb1 Tb 0.500 0.405 0.250
# - Mass density: 6.1 g/cm3
# - Electronic total energy: -35.8 eV/cell
# - Total moment: 0.001 μB per formula unit


No. 11
# GGA-PBE Ca2AcLaTe4, relaxed
data_Ca2AcLaTe4
_chemical_formula_sum 'Ca2 Ac1 La1 Te4'
_cell_length_a 7.892
_cell_length_b 4.556
_cell_length_c 8.039
_cell_angle_alpha 90.00
_cell_angle_beta 109.10
_cell_angle_gamma 90.00
_symmetry_space_group_name_H-M 'P 1 2/m 1'
_symmetry_Int_Tables_number 10
_symmetry_space_group_name_Hall '-P 2y'
loop_
_atom_site_label
_atom_site_type_symbol
_atom_site_fract_x
_atom_site_fract_y
_atom_site_fract_z
Ca1 Ca 0.000 0.000 0.000
Ca2 Ca 0.500 0.500 0.000
Ac1 Ac 0.000 0.500 0.500
La1 La 0.500 0.000 0.500
Te1 Te 0.250 0.500 0.238
Te2 Te 0.260 0.000 0.766
# - Mass density: 5.8 g/cm3
# - Electronic total energy: -38.1 eV/cell
# - Total moment: 0.000 μB per formula unit


No. 12
# GGA-PBE CaAc2La3Te6, relaxed
data_CaAc2La3Te6
_chemical_formula_sum 'Ca2 Ac4 La6 Te12'
_cell_length_a 20.159
_cell_length_b 4.607
_cell_length_c 9.297
_cell_angle_alpha 90.00
_cell_angle_beta 103.33
_cell_angle_gamma 90.00
_symmetry_space_group_name_H-M 'C 1 2/m 1'
_symmetry_Int_Tables_number 12
_symmetry_space_group_name_Hall '-C 2y'
loop_
_atom_site_label
_atom_site_type_symbol
_atom_site_fract_x
_atom_site_fract_y
_atom_site_fract_z
Ca1 Ca 0.000 0.000 0.000
Ac1 Ac 0.168 0.500 0.335
La1 La 0.000 0.000 0.500
La2 La 0.171 0.500 0.833
Te1 Te 0.003 0.500 0.758
Te2 Te 0.162 0.000 0.073
Te3 Te 0.163 0.000 0.588
# - Mass density: 6.6 g/cm3
# - Electronic total energy: -125.1 eV/cell
# - Total moment: 0.000 μB per formula unit


No. 13
# GGA-PBE Ca3AcLa2Te6, relaxed
data_Ca3AcLa2Te6
_chemical_formula_sum 'Ca6 Ac2 La4 Te12'
_cell_length_a 20.046
_cell_length_b 4.542
_cell_length_c 9.207
_cell_angle_alpha 90.00
_cell_angle_beta 104.48
_cell_angle_gamma 90.00
_symmetry_space_group_name_H-M 'C 1 2/m 1'
_symmetry_Int_Tables_number 12
_symmetry_space_group_name_Hall '-C 2y'
loop_
_atom_site_label
_atom_site_type_symbol
_atom_site_fract_x
_atom_site_fract_y
_atom_site_fract_z
Ca1 Ca 0.000 0.000 0.000
Ca2 Ca 0.166 0.500 0.332
Ac1 Ac 0.000 0.000 0.500
La1 La 0.168 0.500 0.836
Te1 Te 0.001 0.500 0.237
Te2 Te 0.164 0.000 0.089
Te3 Te 0.171 0.000 0.580
# - Mass density: 5.7 g/cm3
# - Electronic total energy: -115.3 eV/cell
# - Total moment: 0.000 μB per formula unit


No. 14
# GGA-PBE CaAcLa2Te4, relaxed
data_CaAcLa2Te4
_chemical_formula_sum 'Ca1 Ac1 La2 Te4'
_cell_length_a 7.992
_cell_length_b 4.583
_cell_length_c 8.009
_cell_angle_alpha 90.00
_cell_angle_beta 109.10
_cell_angle_gamma 90.00
_symmetry_space_group_name_H-M 'P 1 2/m 1'
_symmetry_Int_Tables_number 10
_symmetry_space_group_name_Hall '-P 2y'
loop_
_atom_site_label
_atom_site_type_symbol
_atom_site_fract_x
_atom_site_fract_y
_atom_site_fract_z
Ca1 Ca 0.000 0.000 0.000
Ac1 Ac 0.500 0.500 0.000
La1 La 0.000 0.500 0.500
La2 La 0.500 0.000 0.500
Te1 Te 0.240 0.000 0.748
Te2 Te 0.240 0.500 0.247
# - Mass density: 6.3 g/cm3
# - Electronic total energy: -41.0 eV/cell
# - Total moment: 0.000 μB per formula unit


No. 15
# GGA-PBE Ca3Ac2LaTe6, relaxed
data_Ca3Ac2LaTe6
_chemical_formula_sum 'Ca6 Ac4 La2 Te12'
_cell_length_a 20.165
_cell_length_b 4.569
_cell_length_c 9.261
_cell_angle_alpha 90.00
_cell_angle_beta 104.49
_cell_angle_gamma 90.00
_symmetry_space_group_name_H-M 'C 1 2/m 1'
_symmetry_Int_Tables_number 12
_symmetry_space_group_name_Hall '-C 2y'
loop_
_atom_site_label
_atom_site_type_symbol
_atom_site_fract_x
_atom_site_fract_y
_atom_site_fract_z
Ca1 Ca 0.000 0.000 0.000
Ca2 Ca 0.167 0.500 0.334
Ac1 Ac 0.165 0.500 0.830
La1 La 0.000 0.000 0.500
Te1 Te 0.005 0.500 0.247
Te2 Te 0.163 0.000 0.093
Te3 Te 0.168 0.000 0.570
# - Mass density: 5.9 g/cm3
# - Electronic total energy: -113.4 eV/cell
# - Total moment: 0.000 μB per formula unit


No. 16
# GGA-PBE Ca3Ac4LaTe8, relaxed
data_Ca3Ac4LaTe8
_chemical_formula_sum 'Ca6 Ac8 La2 Te16'
_cell_length_a 15.997
_cell_length_b 9.237
_cell_length_c 9.307
_cell_angle_alpha 90.00
_cell_angle_beta 124.95
_cell_angle_gamma 90.00
_symmetry_space_group_name_H-M 'C 1 2/m 1'
_symmetry_Int_Tables_number 12
_symmetry_space_group_name_Hall '-C 2y'
loop_
_atom_site_label
_atom_site_type_symbol
_atom_site_fract_x
_atom_site_fract_y
_atom_site_fract_z
Ca1 Ca 0.000 0.000 0.000
Ca2 Ca 0.250 0.250 0.000
Ac1 Ac 0.000 0.000 0.500
Ac2 Ac 0.000 0.500 0.500
Ac3 Ac 0.250 0.250 0.500
La1 La 0.000 0.500 0.000
Te1 Te 0.006 0.247 0.766
Te2 Te 0.243 0.000 0.232
Te3 Te 0.247 0.500 0.233
# - Mass density: 6.4 g/cm3
# - Electronic total energy: -154.3 eV/cell
# - Total moment: 0.000 μB per formula unit


No. 17
# GGA-PBE CaAc3La2Te6, relaxed
data_CaAc3La2Te6
_chemical_formula_sum 'Ca2 Ac6 La4 Te12'
_cell_length_a 20.263
_cell_length_b 4.629
_cell_length_c 9.337
_cell_angle_alpha 90.00
_cell_angle_beta 103.25
_cell_angle_gamma 90.00
_symmetry_space_group_name_H-M 'C 1 2/m 1'
_symmetry_Int_Tables_number 12
_symmetry_space_group_name_Hall '-C 2y'
loop_
_atom_site_label
_atom_site_type_symbol
_atom_site_fract_x
_atom_site_fract_y
_atom_site_fract_z
Ca1 Ca 0.000 0.000 0.000
Ac1 Ac 0.000 0.000 0.500
Ac2 Ac 0.169 0.500 0.833
La1 La 0.169 0.500 0.338
Te1 Te 0.002 0.500 0.238
Te2 Te 0.160 0.000 0.086
Te3 Te 0.167 0.000 0.578
# - Mass density: 6.9 g/cm3
# - Electronic total energy: -123.2 eV/cell
# - Total moment: 0.000 μB per formula unit


No. 18
# GGA-PBE Ca2Ac3LaTe6, relaxed
data_Ca2Ac3LaTe6
_chemical_formula_sum 'Ca4 Ac6 La2 Te12'
_cell_length_a 8.000
_cell_length_b 13.867
_cell_length_c 8.077
_cell_angle_alpha 90.00
_cell_angle_beta 109.33
_cell_angle_gamma 90.00
_symmetry_space_group_name_H-M 'C 1 2/m 1'
_symmetry_Int_Tables_number 12
_symmetry_space_group_name_Hall '-C 2y'
loop_
_atom_site_label
_atom_site_type_symbol
_atom_site_fract_x
_atom_site_fract_y
_atom_site_fract_z
Ca1 Ca 0.000 0.168 0.000
Ac1 Ac 0.000 0.000 0.500
Ac2 Ac 0.000 0.336 0.500
La1 La 0.000 0.500 0.000
Te1 Te 0.237 0.000 0.232
Te2 Te 0.248 0.330 0.234
# - Mass density: 6.5 g/cm3
# - Electronic total energy: -117.1 eV/cell
# - Total moment: 0.000 μB per formula unit


No. 19
# GGA-PBE CaAcLaTh, relaxed
data_CaAcLaTh
_chemical_formula_sum 'Ca4 Ac4 La4 Th4'
_cell_length_a 8.500
_cell_length_b 8.500
_cell_length_c 8.500
_cell_angle_alpha 90.00
_cell_angle_beta 90.00
_cell_angle_gamma 90.00
_symmetry_space_group_name_H-M 'F -4 3 m'
_symmetry_Int_Tables_number 216
_symmetry_space_group_name_Hall 'F -4 2 3'
loop_
_atom_site_label
_atom_site_type_symbol
_atom_site_fract_x
_atom_site_fract_y
_atom_site_fract_z
Ca1 Ca 0.000 0.000 0.000
Ac1 Ac 0.250 0.250 0.250
La1 La 0.250 0.250 0.750
Th1 Th 0.000 0.000 0.500
# - Mass density: 6.9 g/cm3
# - Electronic total energy: -70.3 eV/cell
# - Total moment: 0.791 μB per formula unit


No. 20
# GGA-PBE CaAcLaTl, relaxed
data_CaAcLaTl
_chemical_formula_sum 'Ca4 Ac4 La4 Tl4'
_cell_length_a 8.274
_cell_length_b 8.274
_cell_length_c 8.274
_cell_angle_alpha 90.00
_cell_angle_beta 90.00
_cell_angle_gamma 90.00
_symmetry_space_group_name_H-M 'F -4 3 m'
_symmetry_Int_Tables_number 216
_symmetry_space_group_name_Hall 'F -4 2 3'
loop_
_atom_site_label
_atom_site_type_symbol
_atom_site_fract_x
_atom_site_fract_y
_atom_site_fract_z
Ca1 Ca 0.000 0.000 0.000
Ac1 Ac 0.250 0.250 0.750
La1 La 0.000 0.000 0.500
Tl1 Tl 0.250 0.250 0.250
# - Mass density: 7.2 g/cm3
# - Electronic total energy: -53.4 eV/cell
# - Total moment: 0.006 μB per formula unit